NaPSCl2, optimized geometry, DFT GGA-PBE; total DFT energy (no corrections) = -2.9847 eV per atom; formation energy from raw total energies = -0.07 eV/atom; space group = P4/mmm (123); crystal system = tetragonal
1.0
-3.044 1.392 -4.696
3.535 -3.203 -3.241
-2.428 -3.287 0.600
P S Na Cl
1 1 1 2
direct
0.000 0.000 0.500
0.000 0.000 0.000
0.500 0.500 0.500
0.000 0.500 0.000
0.500 0.000 0.000